# meta-GGA SCAN MgAlZn2, PBEsol geometry
# space-group type	No. 119
# V	16.4	Å³/atom
# E_tot	-39.859	eV per formula unit
# ρ	4.6	Mg/m³
# total moment	0.0	μB/f.u.
data_MgAlZn2
_cell_length_a 3.9962
_cell_length_b 3.9962
_cell_length_c 4.9792
_cell_angle_alpha 113.66
_cell_angle_beta 113.66
_cell_angle_gamma 90.00
_space_group_name_H-M_alt 'P 1'
_space_group_IT_number 1
loop_
_space_group_symop_operation_xyz
'x,y,z'
loop_
_atom_site_label
_atom_site_type_symbol
_atom_site_fract_x
_atom_site_fract_y
_atom_site_fract_z
Mg1 Mg 0.2500 0.7500 0.5000
Zn1 Zn 0.0000 0.0000 0.0000
Zn2 Zn 0.7500 0.2500 0.5000
Al1 Al 0.5000 0.5000 0.0000